No. 1
4
Lattice="-2.1838 2.4390 5.8785 2.1838 -2.4390 5.8785 2.1838 2.4390 -5.8785" Properties=species:S:1:pos:R:3 comment="BaSc2Pb | Alexandria via LeMat-Bulk | GGA-PBE | optimized geometry" crystal_system=orthorhombic dos_ef_per_ev_atom=0.819 delta_e_f_ev_per_atom=0.023 space_group="Imm2, No. 44" pbc="T T T"
Ba 0.0000 0.0000 0.0000
Sc 0.0000 0.0000 4.9043
Sc 0.0000 2.4390 2.6239
Pb 2.1838 0.0000 2.8844

=====

No. 2
8
Lattice="3.1869 0.0000 0.0000 0.0000 3.1869 0.0000 0.0000 0.0000 12.7438" Properties=species:S:1:pos:R:3 comment="Nb4CrRe3 | Alexandria via LeMat-Bulk | GGA-PBE | optimized geometry" crystal_system=tetragonal dos_ef_per_ev_atom=0.481 delta_e_f_ev_per_atom=-0.209 space_group="P4/mmm, No. 123" pbc="T T T"
Nb 0.0000 0.0000 1.5289
Nb 0.0000 0.0000 4.7540
Nb 0.0000 0.0000 7.9898
Nb 0.0000 0.0000 11.2149
Cr 1.5934 1.5934 0.0000
Re 1.5934 1.5934 3.1465
Re 1.5934 1.5934 6.3719
Re 1.5934 1.5934 9.5973

=====

No. 3
10
Lattice="8.4226 0.0000 0.0000 0.0000 8.4226 0.0000 0.0000 0.0000 3.7651" Properties=species:S:1:pos:R:3 comment="SnSb2As2 | Alexandria via LeMat-Bulk | GGA-PBE | optimized geometry" crystal_system=tetragonal dos_ef_per_ev_atom=0.551 formation_energy_uncorrected_ev_per_atom=0.212 space_group="P4/mbm, No. 127" pbc="T T T"
Sn 0.0000 0.0000 0.0000
Sn 4.2113 4.2113 0.0000
Sb 1.3402 2.8711 0.0000
Sb 2.8711 7.0824 0.0000
Sb 5.5515 1.3402 0.0000
Sb 7.0824 5.5515 0.0000
As 1.5064 5.7177 1.8826
As 2.7049 1.5064 1.8826
As 5.7177 6.9162 1.8826
As 6.9162 2.7049 1.8826

=====

No. 4
10
Lattice="8.5766 -1.8203 0.0000 8.5766 1.8203 0.0000 -6.0169 0.0000 8.8381" Properties=species:S:1:pos:R:3 comment="HoScCl3 | Alexandria via LeMat-Bulk | GGA-PBE | optimized geometry" crystal_system=monoclinic formation_energy_uncorrected_ev_per_atom=-1.793 space_group="C2/m, No. 12" pbc="T T T"
Ho 0.6259 0.0000 2.5222
Ho 10.5104 0.0000 6.3159
Sc 7.1224 0.0000 0.3640
Sc 4.0139 0.0000 8.4741
Cl -3.9742 0.0000 6.6715
Cl 2.8192 0.0000 0.9979
Cl 2.7371 0.0000 4.3492
Cl 8.3992 0.0000 4.4889
Cl 8.3171 0.0000 7.8402
Cl 15.1105 0.0000 2.1665

=====

No. 5
8
Lattice="-2.8771 2.8771 5.7534 2.8771 -2.8771 5.7534 2.8771 2.8771 -5.7534" Properties=species:S:1:pos:R:3 comment="Tb2PrDyP4 | Alexandria via LeMat-Bulk | GGA-PBE | optimized geometry" crystal_system=tetragonal dos_ef_per_ev_atom=0.109 delta_e_f_ev_per_atom=-1.575 space_group="I4/mmm, No. 139" pbc="T T T"
Tb 2.8771 0.0000 2.8767
Tb 0.0000 2.8771 2.8767
Pr 0.0000 0.0000 0.0000
Dy 0.0000 0.0000 5.7534
P 2.8771 0.0000 0.0000
P 0.0000 0.0000 2.9300
P 0.0000 2.8771 0.0000
P 0.0000 0.0000 8.5768

=====

No. 6
4
Lattice="1.4253 -2.4305 0.0000 1.4253 2.4305 0.0000 0.0000 0.0000 9.0824" Properties=species:S:1:pos:R:3 comment="Be2IrCl | Alexandria via LeMat-Bulk | GGA-PBE | optimized geometry" crystal_system=orthorhombic dos_ef_per_ev_atom=0.787 formation_energy_uncorrected_ev_per_atom=0.216 space_group="Cmm2, No. 35" pbc="T T T"
Be 0.0000 0.0000 0.0000
Be 1.4253 0.0000 1.9947
Ir 0.0000 0.0000 3.6875
Cl 1.4253 0.0000 7.6857

=====

Total moment list, top to bottom, in μB/atom: 0.000, 0.000, 0.000, 0.000, 0.000, 0.000
Calculated density list, top to bottom, in g/cm3: 5.760, 12.602, 6.367, 3.806, 6.495, 6.484